# KGa2FeF

KGa2FeF after structural relaxation (PBE with a Hubbard U, Alexandria).

Lattice parameters (Å, degrees): 4.6333 4.6333 7.7142 90.00 90.00 90.00
Space group P4/mmm (No. 123)
One atom of each set of equivalent atoms:
K 0.0000 0.0000 0.0000 x1
Ga 0.0000 0.5000 0.5000 x2
Fe 0.0000 0.0000 0.5000 x1
F 0.5000 0.5000 0.0000 x1

Values from the calculation:
DOS at the Fermi energy = 0.45 states/eV per atom
E = -3.0547 eV per atom
V = 33.12 A^3/atom